# 1
Here is crystalline Ce4Ga2Tc at its relaxed geometry from the Alexandria database. Energies are from GGA-PBE.

Results
Crystal system: monoclinic
Size of the total moment in μB/cell: 1.85
Excess energy over the best structure of this formula in the dataset in meV per atom: 208
DFT formation energy in eV/atom: -0.07
Space-group type: P2/m (10)

Cell: 7.388 3.278 7.772 Å, 90.00 107.77 90.00°
Element x y z (fractional)
Ce 0.160 0.000 0.356
Ce 0.299 0.500 0.956
Ce 0.701 0.500 0.044
Ce 0.840 0.000 0.644
Ga 0.472 0.500 0.654
Ga 0.528 0.500 0.346
Tc 0.000 0.000 0.000

# 2
Here is crystalline Ce2Ga3Tc at its relaxed geometry from the Alexandria database. Energies are from GGA-PBE.

Results
Crystal system: orthorhombic
Size of the total moment in μB/cell: 0.00
Excess energy over the best structure of this formula in the dataset in meV per atom: 45
DFT formation energy in eV/atom: -0.43
Space-group type: Fmmm (69)

Cell: 8.920 8.456 5.796 Å, 74.90 66.24 38.86°
Element x y z (fractional)
Ce 0.238 0.762 0.762
Ce 0.250 0.250 0.250
Ce 0.750 0.750 0.750
Ce 0.762 0.238 0.238
Ga 0.169 0.664 0.336
Ga 0.328 0.328 0.672
Ga 0.336 0.831 0.169
Ga 0.664 0.169 0.831
Ga 0.672 0.672 0.328
Ga 0.831 0.336 0.664
Tc 0.156 0.156 0.844
Tc 0.844 0.844 0.156

# 3
Here is crystalline Ce2Ga2Tc at its relaxed geometry from the Alexandria database. Energies are from GGA-PBE.

Results
Crystal system: orthorhombic
Size of the total moment in μB/cell: 1.79
DFT formation energy in eV/atom: -0.30
Space-group type: Ibam (72)

Cell: 7.548 7.548 7.548 Å, 132.52 68.53 133.64°
Element x y z (fractional)
Ce 0.163 0.194 0.357
Ce 0.337 0.694 0.030
Ce 0.663 0.306 0.970
Ce 0.837 0.806 0.643
Ga 0.076 0.668 0.744
Ga 0.424 0.168 0.591
Ga 0.576 0.832 0.409
Ga 0.924 0.332 0.256
Tc 0.250 0.250 0.000
Tc 0.750 0.750 0.000